1.
A plane-wave DFT calculation with PBE was carried out for K2Pu2PdS6 after structural relaxation.

Unit cell a=6.7138 b=6.7138 c=7.8586 alpha=97.64 beta=97.64 gamma=120.42
With the nearest neighbours (Å) after each atom.
Sites, in units of the cell vectors:
S1 0.2469 0.2469 0.3200  1 Pd 2.44, 2 Pu 2.72
S2 0.7531 0.7531 0.6800  1 Pd 2.44, 2 Pu 2.72
S3 0.5985 0.9348 0.3034  2 Pu 2.65-2.68, 1 Pd 2.71
S4 0.4015 0.0652 0.6966  2 Pu 2.65-2.68, 1 Pd 2.71
S5 0.9348 0.5985 0.3034  2 Pu 2.65-2.68, 1 Pd 2.71
S6 0.0652 0.4015 0.6966  2 Pu 2.65-2.68, 1 Pd 2.71
Pu1 0.6676 0.3324 0.5000  6 S 2.65-2.72
Pu2 0.3324 0.6676 0.5000  6 S 2.65-2.72
Pd1 0.0000 0.0000 0.5000  6 S 2.44-2.71
K1 0.1622 0.8378 0.0000  6 S 3.18-3.24
K2 0.8378 0.1622 0.0000  6 S 3.18-3.24

Properties
* formation energy without anion corrections: -1.17 eV/atom
* E: -73.7 eV/cell
* DOS at the Fermi energy: 15.1 states/eV/cell
* space group: C2/m

=====

2.
A plane-wave DFT calculation with PBE was carried out for AsOs2Rh after structural relaxation.

Unit cell a=2.8452 b=2.8452 c=7.2750 alpha=90.00 beta=90.00 gamma=90.00
With the nearest neighbours (Å) after each atom.
Sites, in units of the cell vectors:
Rh1 0.0000 0.0000 0.5102  4 As 2.64, 4 Os 2.82, 4 Rh 2.85
Os1 0.0000 0.0000 0.0052  8 Os 2.63-2.85, 4 As 2.76
Os2 0.5000 0.5000 0.2384  8 Os 2.63-2.85, 4 Rh 2.82
As1 0.5000 0.5000 0.7462  4 Rh 2.64, 4 Os 2.76, 4 As 2.85

Properties
* E: -33.7 eV/cell
* DOS at the Fermi energy: 3.5 states/eV/cell
* ΔE_f: 0.198 eV/atom
* space group: P4mm